PBE CeAlBi2, relaxed; calculated volume = 28.11 Å³/atom; distance to the lowest polymorph of the same formula = 0.096 eV per atom; symmetry = P4/mmm; formation energy = -0.28 eV per atom; E_tot = -4.64 eV per atom
1.0
4.173 0.000 0.000
0.000 4.173 0.000
0.000 0.000 6.457
Ce Al Bi
1 1 2
direct
0.000 0.000 0.000
0.000 0.000 0.500
0.500 0.500 0.253
0.500 0.500 0.747


PBE TaAsOs, relaxed; calculated volume = 15.67 Å³/atom; symmetry = I4mm; formation energy = -0.03 eV per atom; E_tot = -9.27 eV per atom
1.0
-1.494 1.494 5.267
1.494 -1.494 5.267
1.494 1.494 -5.267
Ta As Os
1 1 1
direct
0.000 0.000 0.000
0.676 0.676 0.000
0.318 0.318 0.000